Record 1
The following is a PBE calculation of a relaxed structure of CuGePtS2, from Alexandria.

Results
- Crystal system: tetragonal
- M_tot: 0.000 μB/cell
- Calculated volume: 110.9 Å³/f.u.
- Formation energy (no corrections): 0.712 eV/atom

Lattice parameters (Å, degrees): 4.8527 4.8527 4.7089 90.00 90.00 90.00
Closest atoms and distances in Å follow each position.
Space group P4/mmm (No. 123)
Asymmetric unit:
Cu1 0.0000 0.0000 0.0000 [1 per cell]  8 S 3.38, 4 Ge 3.43
Ge1 0.5000 0.5000 0.0000 [1 per cell]  2 Pt 2.35
Pt1 0.5000 0.5000 0.5000 [1 per cell]  2 Ge 2.35, 4 S 2.43
S1 0.0000 0.5000 0.5000 [2 per cell]  2 Pt 2.43

=====

Record 2
The following is a PBE calculation of a relaxed structure of PrHoAlGa, from Alexandria.

Results
- Excess energy over the best structure of this formula in the dataset: 0.0000 eV per atom
- Crystal system: orthorhombic
- M_tot: 0.000 μB/cell
- Formation enthalpy at 0 K: -0.479 eV/atom
- Calculated volume: 104.3 Å³/f.u.

Lattice parameters (Å, degrees): 4.1600 4.4621 11.2355 90.00 90.00 90.00
Closest atoms and distances in Å follow each position.
Space group Amm2 (No. 38)
Asymmetric unit:
Pr1 0.0000 0.0000 0.0000 [2 per cell]  4 Ga 3.15, 3 Al 3.21-3.28
Ho1 0.5000 0.0000 0.2814 [2 per cell]  4 Al 3.14, 3 Ga 3.25-3.26
Al1 0.0000 0.0000 0.7140 [2 per cell]  2 Ga 2.63
Ga1 0.5000 0.0000 0.5712 [2 per cell]  2 Al 2.63

=====

Record 3
The following is a PBE calculation of a relaxed structure of Li2CuPd3, from Alexandria.

Results
- Excess energy over the best structure of this formula in the dataset: 0.0407 eV per atom
- Crystal system: monoclinic
- M_tot: 0.000 μB/cell
- Formation enthalpy at 0 K: -0.289 eV/atom
- Calculated volume: 84.3 Å³/f.u.

Lattice parameters (Å, degrees): 13.3111 5.2965 4.7901 90.00 93.57 90.00
Closest atoms and distances in Å follow each position.
Space group C2/c (No. 15)
Asymmetric unit:
Li1 0.1647 0.1269 0.0831 [8 per cell]  8 Pd 2.63-2.76, 1 Cu 2.73, 3 Li 2.75-2.78
Cu1 0.0000 0.3780 0.2500 [4 per cell]  8 Pd 2.62-2.74, 2 Cu 2.72, 2 Li 2.73
Pd1 0.0000 0.1265 0.7500 [4 per cell]  4 Cu 2.62-2.74, 4 Li 2.63-2.73, 4 Pd 2.74-2.75
Pd2 0.1666 0.3762 0.5770 [8 per cell]  6 Li 2.63-2.76, 2 Cu 2.63-2.74, 4 Pd 2.73-2.75